Record 1
Cs2KSmI6: relaxed, PBE.

Cell: 8.8359 9.3160 15.4472 Å, 90.00 124.54 90.00°
Last column: nearest neighbours and their distance in Å.
Sites, in units of the cell vectors:
1 Cs 0.2241 0.0728 0.2497  6 I 3.92-4.14
2 Cs 0.2241 0.4272 0.7497  6 I 3.92-4.14
3 Cs 0.7759 0.5728 0.2503  6 I 3.92-4.14
4 Cs 0.7759 0.9272 0.7503  6 I 3.92-4.14
5 K 0.0000 0.0000 0.5000  6 I 3.49-3.55
6 K 0.0000 0.5000 0.0000  6 I 3.49-3.55
7 Sm 0.5000 0.0000 0.0000  6 I 3.10-3.11
8 Sm 0.5000 0.5000 0.5000  6 I 3.10-3.11
9 I 0.1700 0.1844 0.9550  1 Sm 3.10
10 I 0.1700 0.3156 0.4550  1 Sm 3.10
11 I 0.2712 0.7213 0.9513  1 Sm 3.11
12 I 0.2712 0.7787 0.4513  1 Sm 3.11
13 I 0.3596 0.0226 0.7658  1 Sm 3.10
14 I 0.3596 0.4774 0.2658  1 Sm 3.10
15 I 0.6404 0.5226 0.7342  1 Sm 3.10
16 I 0.6404 0.9774 0.2342  1 Sm 3.10
17 I 0.7288 0.2213 0.5487  1 Sm 3.11
18 I 0.7288 0.2787 0.0487  1 Sm 3.11
19 I 0.8300 0.6844 0.5450  1 Sm 3.10
20 I 0.8300 0.8156 0.0450  1 Sm 3.10

Calculated values
- Formation energy without anion corrections: -145.6 kJ/mol of atoms
- N(E_F): 0.00 states/eV/cell
- SG: P2_1/c
- M_tot: 0.00 μB per formula unit

=====

Record 2
Cs2KSnI6: relaxed, PBE.

Cell: 17.7077 17.7077 17.7077 Å, 28.02 28.02 28.02°
Last column: nearest neighbours and their distance in Å.
Sites, in units of the cell vectors:
1 Cs 0.1393 0.1393 0.1393  9 I 3.99-4.30
2 Cs 0.3071 0.3071 0.3071  9 I 3.95-4.31
3 Cs 0.6929 0.6929 0.6929  9 I 3.95-4.31
4 Cs 0.8607 0.8607 0.8607  9 I 3.99-4.30
5 K 0.4171 0.4171 0.4171  6 I 3.52-3.53
6 K 0.5829 0.5829 0.5829  6 I 3.52-3.53
7 Sn 0.0000 0.0000 0.0000  6 I 3.04
8 Sn 0.5000 0.5000 0.5000  6 I 3.06
9 I 0.1287 0.6340 0.6340  1 Sn 3.06
10 I 0.2015 0.2015 0.6997  1 Sn 3.04
11 I 0.2015 0.6997 0.2015  1 Sn 3.04
12 I 0.3003 0.7985 0.7985  1 Sn 3.04
13 I 0.3660 0.3660 0.8713  1 Sn 3.06
14 I 0.3660 0.8713 0.3660  1 Sn 3.06
15 I 0.6340 0.1287 0.6340  1 Sn 3.06
16 I 0.6340 0.6340 0.1287  1 Sn 3.06
17 I 0.6997 0.2015 0.2015  1 Sn 3.04
18 I 0.7985 0.3003 0.7985  1 Sn 3.04
19 I 0.7985 0.7985 0.3003  1 Sn 3.04
20 I 0.8713 0.3660 0.3660  1 Sn 3.06

Calculated values
- Formation energy without anion corrections: -102.1 kJ/mol of atoms
- N(E_F): 7.37 states/eV/cell
- SG: R-3m
- M_tot: 0.00 μB per formula unit

=====

Record 3
Cs4KSn3I12: relaxed, PBE.

Cell: 10.9271 10.9271 10.9271 Å, 109.47 109.47 109.47°
Last column: nearest neighbours and their distance in Å.
Sites, in units of the cell vectors:
1 Cs 0.0000 0.0000 0.5000  12 I 4.46
2 Cs 0.0000 0.5000 0.0000  12 I 4.46
3 Cs 0.5000 0.0000 0.0000  12 I 4.46
4 Cs 0.5000 0.5000 0.5000  12 I 4.46
5 K 0.0000 0.0000 0.0000  6 I 3.29
6 Sn 0.0000 0.5000 0.5000  6 I 3.02-3.15
7 Sn 0.5000 0.0000 0.5000  6 I 3.02-3.15
8 Sn 0.5000 0.5000 0.0000  6 I 3.02-3.15
9 I 0.0000 0.2607 0.2607  1 Sn 3.02, 1 K 3.29
10 I 0.0000 0.7393 0.7393  1 Sn 3.02, 1 K 3.29
11 I 0.2500 0.5000 0.7500  2 Sn 3.15
12 I 0.2500 0.7500 0.5000  2 Sn 3.15
13 I 0.2607 0.0000 0.2607  1 Sn 3.02, 1 K 3.29
14 I 0.2607 0.2607 0.0000  1 Sn 3.02, 1 K 3.29
15 I 0.5000 0.2500 0.7500  2 Sn 3.15
16 I 0.5000 0.7500 0.2500  2 Sn 3.15
17 I 0.7393 0.0000 0.7393  1 Sn 3.02, 1 K 3.29
18 I 0.7393 0.7393 0.0000  1 Sn 3.02, 1 K 3.29
19 I 0.7500 0.2500 0.5000  2 Sn 3.15
20 I 0.7500 0.5000 0.2500  2 Sn 3.15

Calculated values
- Formation energy without anion corrections: -94.9 kJ/mol of atoms
- N(E_F): 4.86 states/eV/cell
- SG: Im-3m
- M_tot: 0.00 μB per formula unit

=====

Computed total DFT energy (no corrections), in the same sequence as the records: -63.84; -53.38; -54.78 eV/cell.